Crystalline Sr2TcHgN at its relaxed geometry. Source: Alexandria via LeMat-Bulk, functional GGA-PBE.

Results
- space group = No. 123
- uncorrected formation energy (eV/atom) = -0.35
- volume (Å³/atom) = 23.571

```
data_Sr2TcHgN
_chemical_formula_sum 'Sr2 Tc1 Hg1 N1'
_cell_length_a 5.506
_cell_length_b 5.506
_cell_length_c 3.887
_cell_angle_alpha 90.00
_cell_angle_beta 90.00
_cell_angle_gamma 90.00
_space_group_name_H-M_alt 'P 1'
_space_group_IT_number 1
_space_group_name_Hall 'P 1'
loop_
_atom_site_label
_atom_site_type_symbol
_atom_site_fract_x
_atom_site_fract_y
_atom_site_fract_z
Sr1 Sr 0.000 0.500 0.000
Sr2 Sr 0.500 0.000 0.000
Tc1 Tc 0.000 0.000 0.500
Hg1 Hg 0.500 0.500 0.500
N1 N 0.000 0.000 0.000
```

***

Crystalline Ca4BiPt2 at its relaxed geometry. Source: Alexandria via LeMat-Bulk, functional GGA-PBE.

Results
- space group = No. 63
- volume (Å³/atom) = 26.386

```
data_Ca4BiPt2
_chemical_formula_sum 'Ca8 Bi2 Pt4'
_cell_length_a 5.184
_cell_length_b 5.184
_cell_length_c 15.875
_cell_angle_alpha 90.00
_cell_angle_beta 90.00
_cell_angle_gamma 120.01
_space_group_name_H-M_alt 'P 1'
_space_group_IT_number 1
_space_group_name_Hall 'P 1'
loop_
_atom_site_label
_atom_site_type_symbol
_atom_site_fract_x
_atom_site_fract_y
_atom_site_fract_z
Ca1 Ca 0.000 0.000 0.000
Ca2 Ca 0.000 0.000 0.500
Ca3 Ca 0.333 0.667 0.619
Ca4 Ca 0.333 0.667 0.881
Ca5 Ca 0.334 0.666 0.250
Ca6 Ca 0.666 0.334 0.750
Ca7 Ca 0.667 0.333 0.119
Ca8 Ca 0.667 0.333 0.381
Bi1 Bi 0.001 0.999 0.250
Bi2 Bi 0.999 0.001 0.750
Pt1 Pt 0.334 0.666 0.061
Pt2 Pt 0.334 0.666 0.439
Pt3 Pt 0.666 0.334 0.561
Pt4 Pt 0.666 0.334 0.939
```

***

Crystalline ErPa3S4 at its relaxed geometry. Source: Alexandria via LeMat-Bulk, functional GGA-PBE.

Results
- space group = No. 13
- uncorrected formation energy (eV/atom) = -1.68
- volume (Å³/atom) = 20.727

```
data_ErPa3S4
_chemical_formula_sum 'Er2 Pa6 S8'
_cell_length_a 6.896
_cell_length_b 7.743
_cell_length_c 6.578
_cell_angle_alpha 90.00
_cell_angle_beta 109.21
_cell_angle_gamma 90.00
_space_group_name_H-M_alt 'P 1'
_space_group_IT_number 1
_space_group_name_Hall 'P 1'
loop_
_atom_site_label
_atom_site_type_symbol
_atom_site_fract_x
_atom_site_fract_y
_atom_site_fract_z
Er1 Er 0.000 0.125 0.250
Er2 Er 0.000 0.875 0.750
Pa1 Pa 0.000 0.378 0.750
Pa2 Pa 0.000 0.622 0.250
Pa3 Pa 0.500 0.126 0.750
Pa4 Pa 0.500 0.377 0.250
Pa5 Pa 0.500 0.623 0.750
Pa6 Pa 0.500 0.874 0.250
S1 S 0.244 0.123 0.999
S2 S 0.244 0.877 0.499
S3 S 0.246 0.371 0.497
S4 S 0.246 0.629 0.997
S5 S 0.754 0.371 0.003
S6 S 0.754 0.629 0.503
S7 S 0.756 0.123 0.501
S8 S 0.756 0.877 0.001
```

***

Crystalline PPtF2 at its relaxed geometry. Source: Alexandria via LeMat-Bulk, functional GGA-PBE.

Results
- space group = No. 122
- offset from the most stable computed form (kJ/mol of formula units) = 145
- uncorrected formation energy (eV/atom) = -0.52
- volume (Å³/atom) = 12.500

```
data_PPtF2
_chemical_formula_sum 'P2 Pt2 F4'
_cell_length_a 8.387
_cell_length_b 8.387
_cell_length_c 8.387
_cell_angle_alpha 155.68
_cell_angle_beta 155.68
_cell_angle_gamma 34.67
_space_group_name_H-M_alt 'P 1'
_space_group_IT_number 1
_space_group_name_Hall 'P 1'
loop_
_atom_site_label
_atom_site_type_symbol
_atom_site_fract_x
_atom_site_fract_y
_atom_site_fract_z
P1 P 0.000 0.000 0.000
P2 P 0.750 0.250 0.500
Pt1 Pt 0.250 0.750 0.500
Pt2 Pt 0.500 0.500 0.000
F1 F 0.115 0.625 0.990
F2 F 0.375 0.365 0.490
F3 F 0.635 0.125 0.010
F4 F 0.875 0.885 0.510
```

***

Crystalline CoTc2Te at its relaxed geometry. Source: Alexandria via LeMat-Bulk, functional GGA-PBE.

Results
- space group = No. 216
- uncorrected formation energy (eV/atom) = 0.48
- volume (Å³/atom) = 15.529

```
data_CoTc2Te
_chemical_formula_sum 'Co1 Tc2 Te1'
_cell_length_a 4.445
_cell_length_b 4.445
_cell_length_c 4.445
_cell_angle_alpha 60.00
_cell_angle_beta 60.00
_cell_angle_gamma 60.00
_space_group_name_H-M_alt 'P 1'
_space_group_IT_number 1
_space_group_name_Hall 'P 1'
loop_
_atom_site_label
_atom_site_type_symbol
_atom_site_fract_x
_atom_site_fract_y
_atom_site_fract_z
Co1 Co 0.000 0.000 0.000
Tc1 Tc 0.500 0.500 0.500
Tc2 Tc 0.750 0.750 0.750
Te1 Te 0.250 0.250 0.250
```

***

Crystalline HfMn2Ag2 at its relaxed geometry. Source: Alexandria via LeMat-Bulk, functional GGA-PBE.

Results
- space group = No. 127
- offset from the most stable computed form (kJ/mol of formula units) = 125
- volume (Å³/atom) = 15.956

```
data_HfMn2Ag2
_chemical_formula_sum 'Hf2 Mn4 Ag4'
_cell_length_a 7.674
_cell_length_b 7.674
_cell_length_c 2.710
_cell_angle_alpha 90.00
_cell_angle_beta 90.00
_cell_angle_gamma 90.00
_space_group_name_H-M_alt 'P 1'
_space_group_IT_number 1
_space_group_name_Hall 'P 1'
loop_
_atom_site_label
_atom_site_type_symbol
_atom_site_fract_x
_atom_site_fract_y
_atom_site_fract_z
Hf1 Hf 0.000 0.000 0.000
Hf2 Hf 0.500 0.500 0.000
Mn1 Mn 0.174 0.326 0.500
Mn2 Mn 0.326 0.826 0.500
Mn3 Mn 0.674 0.174 0.500
Mn4 Mn 0.826 0.674 0.500
Ag1 Ag 0.125 0.625 0.000
Ag2 Ag 0.375 0.125 0.000
Ag3 Ag 0.625 0.875 0.000
Ag4 Ag 0.875 0.375 0.000
```

***

| no. | energy (eV for the cell shown) |
| --- | --- |
| 1 | -24.11 |
| 2 | -58.97 |
| 3 | -126.04 |
| 4 | -34.57 |
| 5 | -29.05 |
| 6 | -60.32 |